First-principles (PBE-GGA) data for a relaxed Sb2Rh crystal, as listed in Alexandria via LeMat-Bulk.

a = 3.710 Å, b = 3.710 Å, c = 5.661 Å
α = 90.00°, β = 90.00°, γ = 120.00°
Positions (direct):
Sb: 0.333 0.667 0.283
Sb: 0.667 0.333 0.717
Rh: 0.000 0.000 0.000

total magnetic moment = 0.000 μB per atom
formation energy from raw total energies = -251 meV/atom
E = -16.349 eV for the cell shown

---

First-principles (PBE-GGA) data for a relaxed Pr3Nd2PuAs6 crystal, as listed in Alexandria via LeMat-Bulk.

a = 9.534 Å, b = 9.534 Å, c = 8.536 Å
α = 102.94°, β = 102.94°, γ = 25.89°
Positions (direct):
Pr: 0.000 0.000 0.000
Pr: 0.332 0.332 0.667
Pr: 0.668 0.668 0.333
Nd: 0.333 0.333 0.166
Nd: 0.667 0.667 0.834
Pu: 0.000 0.000 0.500
As: 0.163 0.163 0.583
As: 0.167 0.167 0.082
As: 0.500 0.500 0.260
As: 0.500 0.500 0.740
As: 0.833 0.833 0.918
As: 0.837 0.837 0.417

total magnetic moment = 0.404 μB per atom
E = -83.070 eV for the cell shown
ΔE_f = -1.414 eV/atom

---

First-principles (PBE-GGA) data for a relaxed LiCaAcSe3 crystal, as listed in Alexandria via LeMat-Bulk.

a = 8.728 Å, b = 4.226 Å, c = 9.132 Å
α = 90.00°, β = 102.69°, γ = 90.00°
Positions (direct):
Li: 0.090 0.250 0.091
Li: 0.910 0.750 0.909
Ca: 0.338 0.750 0.337
Ca: 0.662 0.250 0.663
Ac: 0.183 0.250 0.731
Ac: 0.817 0.750 0.269
Se: 0.100 0.250 0.369
Se: 0.208 0.750 0.002
Se: 0.425 0.750 0.668
Se: 0.575 0.250 0.332
Se: 0.792 0.250 0.998
Se: 0.900 0.750 0.631

total magnetic moment = 0.000 μB per atom
formation energy from raw total energies = -1814 meV/atom
E = -58.724 eV for the cell shown

---

First-principles (PBE-GGA) data for a relaxed Ca2LaCu2 crystal, as listed in Alexandria via LeMat-Bulk.

a = 4.582 Å, b = 4.582 Å, c = 12.940 Å
α = 90.00°, β = 90.00°, γ = 90.00°
Positions (direct):
Ca: 0.000 0.500 0.250
Ca: 0.000 0.500 0.750
Ca: 0.500 0.000 0.250
Ca: 0.500 0.000 0.750
La: 0.000 0.000 0.000
La: 0.500 0.500 0.500
Cu: 0.000 0.000 0.406
Cu: 0.000 0.000 0.594
Cu: 0.500 0.500 0.094
Cu: 0.500 0.500 0.906

total magnetic moment = 0.168 μB per atom
E = -33.636 eV for the cell shown
ΔE_f = 0.061 eV/atom
excess energy over the best structure of this formula in the dataset = 140.1 meV/atom

---

First-principles (PBE-GGA) data for a relaxed Tb4Tl3Sn crystal, as listed in Alexandria via LeMat-Bulk.

a = 3.759 Å, b = 5.405 Å, c = 10.809 Å
α = 90.00°, β = 90.00°, γ = 90.00°
Positions (direct):
Tb: 0.000 0.000 0.000
Tb: 0.000 0.000 0.500
Tb: 0.000 0.500 0.246
Tb: 0.000 0.500 0.754
Tl: 0.500 0.000 0.255
Tl: 0.500 0.000 0.745
Tl: 0.500 0.500 0.500
Sn: 0.500 0.500 0.000

total magnetic moment = 0.000 μB per atom
E = -32.970 eV for the cell shown
ΔE_f = -0.418 eV/atom

---

First-principles (PBE-GGA) data for a relaxed Ac2Ga9Ir3 crystal, as listed in Alexandria via LeMat-Bulk.

a = 7.827 Å, b = 7.827 Å, c = 10.855 Å
α = 111.48°, β = 111.48°, γ = 59.64°
Positions (direct):
Ac: 0.085 0.251 0.250
Ac: 0.251 0.085 0.750
Ac: 0.749 0.915 0.250
Ac: 0.915 0.749 0.750
Ga: 0.029 0.852 0.075
Ga: 0.148 0.971 0.425
Ga: 0.199 0.359 0.574
Ga: 0.218 0.581 0.252
Ga: 0.318 0.484 0.948
Ga: 0.359 0.199 0.074
Ga: 0.378 0.622 0.750
Ga: 0.419 0.782 0.248
Ga: 0.484 0.318 0.448
Ga: 0.516 0.682 0.552
Ga: 0.581 0.218 0.752
Ga: 0.622 0.378 0.250
Ga: 0.641 0.801 0.926
Ga: 0.682 0.516 0.052
Ga: 0.782 0.419 0.748
Ga: 0.801 0.641 0.426
Ga: 0.852 0.029 0.575
Ga: 0.971 0.148 0.925
Ir: 0.000 0.500 0.000
Ir: 0.163 0.670 0.499
Ir: 0.330 0.837 0.001
Ir: 0.500 0.000 0.500
Ir: 0.670 0.163 0.999
Ir: 0.837 0.330 0.501

total magnetic moment = 0.000 μB per atom
E = -140.768 eV for the cell shown
ΔE_f = -0.596 eV/atom